4
Lattice="-1.285 1.113 3.437 -2.314 -2.801 -1.225 4.883 -5.630 3.648" Properties=species:S:1:pos:R:3 comment="Cd2TePb, optimized geometry, DFT PBE" e_above_lowest_polymorph_ev_per_atom=0.116 spacegroup="No. 65" pbc="T T T"
Cd 2.507 -2.891 1.873
Cd 4.818 -5.555 3.599
Te 1.863 -5.067 3.842
Pb -0.579 -2.252 2.018